Record 1
Co2AgBr: optimized geometry, GGA-PBE.

Cell and atoms, written as POSCAR:
```
Co2AgBr
1.0
3.354 0.000 0.000
0.000 4.441 0.000
0.000 0.000 4.390
Br Ag Co
1 1 2
Direct
0.000 0.500 0.500
0.500 0.000 0.500
0.500 0.500 0.000
0.000 0.000 0.000
```

Properties
As for the distance to the lowest polymorph of the same formula: 0.495 eV/atom. As for the crystal system: orthorhombic. As for the total magnetization: 3.866 Bohr magnetons per cell. For the raw formation energy, the calculation gives 860.0 meV/atom.



Record 2
CoAgBr3: optimized geometry, GGA-PBE.

Cell and atoms, written as POSCAR:
```
CoAgBr3
1.0
4.989 0.000 0.000
0.000 4.989 0.000
0.000 0.000 4.989
Co Br Ag
1 3 1
Direct
0.000 0.000 0.000
0.000 0.500 0.000
0.500 0.000 0.000
0.000 0.000 0.500
0.500 0.500 0.500
```

Properties
As for the distance to the lowest polymorph of the same formula: 0.336 eV/atom. As for the crystal system: cubic. As for the total magnetization: 1.748 Bohr magnetons per cell. For the raw formation energy, the calculation gives 50.0 meV/atom.



The highest distance to the lowest polymorph of the same formula belongs to which entry? Co2AgBr



The lowest distance to the lowest polymorph of the same formula belongs to which entry? CoAgBr3



Number 1 is which compound? Co2AgBr



Which of these has the highest raw formation energy? Co2AgBr